# 1
# Hf2TcP (PBE-GGA, relaxed)
data_Hf2TcP
_symmetry_space_group_name_H-M 'I -4 2 d'
_symmetry_Int_Tables_number 122
_symmetry_space_group_name_Hall 'I -4 2bw'
_cell_length_a 7.1299
_cell_length_b 7.1299
_cell_length_c 5.8106
_cell_angle_alpha 90.00
_cell_angle_beta 90.00
_cell_angle_gamma 90.00
loop_
_atom_site_label
_atom_site_type_symbol
_atom_site_fract_x
_atom_site_fract_y
_atom_site_fract_z
_atom_site_occupancy
Hf1 Hf 0.2385 0.2500 0.1250 1
Tc1 Tc 0.0000 0.0000 0.5000 1
P1 P 0.0000 0.0000 0.0000 1
# DOS(E_F)	15.84	states/eV per cell
# energy	-143.668	eV for the cell shown
# ΔE_f	-0.2	eV/f.u.
# V	18.46	A^3/atom

# 2
# HfTcP3 (PBE-GGA, relaxed)
data_HfTcP3
_symmetry_space_group_name_H-M 'P m -3 m'
_symmetry_Int_Tables_number 221
_symmetry_space_group_name_Hall '-P 4 2 3'
_cell_length_a 4.5864
_cell_length_b 4.5864
_cell_length_c 4.5864
_cell_angle_alpha 90.00
_cell_angle_beta 90.00
_cell_angle_gamma 90.00
loop_
_atom_site_label
_atom_site_type_symbol
_atom_site_fract_x
_atom_site_fract_y
_atom_site_fract_z
_atom_site_occupancy
Hf1 Hf 0.0000 0.0000 0.0000 1
Tc1 Tc 0.5000 0.5000 0.5000 1
P1 P 0.0000 0.5000 0.5000 1
# DOS(E_F)	8.61	states/eV per cell
# energy	-33.969	eV for the cell shown
# ΔE_f	2.6	eV/f.u.
# V	19.30	A^3/atom
# energy above the lowest structure with this stoichiometry	0	meV per atom

# 3
# HfTc2P (PBE-GGA, relaxed)
data_HfTc2P
_symmetry_space_group_name_H-M 'I -4 2 d'
_symmetry_Int_Tables_number 122
_symmetry_space_group_name_Hall 'I -4 2bw'
_cell_length_a 3.8848
_cell_length_b 3.8848
_cell_length_c 18.1008
_cell_angle_alpha 90.00
_cell_angle_beta 90.00
_cell_angle_gamma 90.00
loop_
_atom_site_label
_atom_site_type_symbol
_atom_site_fract_x
_atom_site_fract_y
_atom_site_fract_z
_atom_site_occupancy
Hf1 Hf 0.0000 0.0000 0.0000 1
Tc1 Tc 0.1791 0.2500 0.6250 1
P1 P 0.0000 0.0000 0.5000 1
# DOS(E_F)	11.56	states/eV per cell
# energy	-145.803	eV for the cell shown
# ΔE_f	-0.4	eV/f.u.
# V	17.07	A^3/atom

# 4
# HfTc3P (PBE-GGA, relaxed)
data_HfTc3P
_symmetry_space_group_name_H-M 'P m -3 m'
_symmetry_Int_Tables_number 221
_symmetry_space_group_name_Hall '-P 4 2 3'
_cell_length_a 4.7571
_cell_length_b 4.7571
_cell_length_c 4.7571
_cell_angle_alpha 90.00
_cell_angle_beta 90.00
_cell_angle_gamma 90.00
loop_
_atom_site_label
_atom_site_type_symbol
_atom_site_fract_x
_atom_site_fract_y
_atom_site_fract_z
_atom_site_occupancy
Hf1 Hf 0.0000 0.0000 0.0000 1
Tc1 Tc 0.0000 0.0000 0.5000 1
P1 P 0.5000 0.5000 0.5000 1
# DOS(E_F)	5.06	states/eV per cell
# energy	-35.833	eV for the cell shown
# ΔE_f	10.6	eV/f.u.
# V	21.53	A^3/atom
# energy above the lowest structure with this stoichiometry	2174	meV per atom

# 5
# Hf2TcP (PBE-GGA, relaxed)
data_Hf2TcP
_symmetry_space_group_name_H-M 'R -3 m'
_symmetry_Int_Tables_number 166
_symmetry_space_group_name_Hall '-R 3 2"'
_cell_length_a 3.3499
_cell_length_b 3.3499
_cell_length_c 24.4268
_cell_angle_alpha 90.00
_cell_angle_beta 90.00
_cell_angle_gamma 120.00
loop_
_atom_site_label
_atom_site_type_symbol
_atom_site_fract_x
_atom_site_fract_y
_atom_site_fract_z
_atom_site_occupancy
Hf1 Hf 0.0000 0.0000 0.0996 1
Tc1 Tc 0.0000 0.0000 0.0000 1
P1 P 0.0000 0.0000 0.5000 1
# DOS(E_F)	6.66	states/eV per cell
# energy	-106.986	eV for the cell shown
# ΔE_f	0.0	eV/f.u.
# V	19.78	A^3/atom

# 6
# Hf2TeP2 (PBE-GGA, relaxed)
data_Hf2TeP2
_symmetry_space_group_name_H-M 'I 4/m m m'
_symmetry_Int_Tables_number 139
_symmetry_space_group_name_Hall '-I 4 2'
_cell_length_a 3.7441
_cell_length_b 3.7441
_cell_length_c 13.9346
_cell_angle_alpha 90.00
_cell_angle_beta 90.00
_cell_angle_gamma 90.00
loop_
_atom_site_label
_atom_site_type_symbol
_atom_site_fract_x
_atom_site_fract_y
_atom_site_fract_z
_atom_site_occupancy
Hf1 Hf 0.0000 0.0000 0.1190 1
Te1 Te 0.0000 0.0000 0.5000 1
P1 P 0.0000 0.5000 0.2500 1
# DOS(E_F)	3.93	states/eV per cell
# energy	-74.146	eV for the cell shown
# formation energy from raw total energies	-640.9	meV per atom
# V	19.53	A^3/atom
# energy above the lowest structure with this stoichiometry	199	meV per atom